# 1
The following is a PBEsol calculation of a geometry-optimized ZrSbIrRh2 structure, from Alexandria.

The structure in POSCAR format:
```
ZrSbIrRh2
1.0
4.709 0.000 0.000
0.000 4.709 0.000
0.000 0.000 4.880
Zr Sb Ir Rh
1 1 1 2
Cartesian
0.000 0.000 0.000 Zr
2.354 2.354 0.000 Sb
0.000 0.000 2.440 Ir
0.000 2.354 2.440 Rh
2.354 0.000 2.440 Rh
```

Output
electronic total energy	-0.2657	hartree per atom
formation energy from raw total energies	718	meV per atom
space group	No. 123
calculated density	9.4	g cm⁻³
crystal system	tetragonal

=====

# 2
The following is a PBEsol calculation of a geometry-optimized ScIrRh structure, from Alexandria.

The structure in POSCAR format:
```
ScIrRh
1.0
-1.407 1.407 5.838
1.407 -1.407 5.838
1.407 1.407 -5.838
Sc Ir Rh
1 1 1
Cartesian
0.000 0.000 0.000 Sc
0.000 0.000 7.840 Ir
0.000 0.000 3.808 Rh
```

Output
electronic total energy	-0.3159	hartree per atom
space group	No. 107
ΔE_f	-9.379	kcal/mol of atoms
calculated density	12.2	g cm⁻³
crystal system	tetragonal